Here is Ga3Ni2Ru after structural relaxation from Alexandria. Energies are from PBE.

Cell: 3.036 3.036 8.454 Å, 90.00 90.00 90.00°
Space group P4/mmm (No. 123)
Asymmetric unit:
Ga  0.000  0.000  0.000 [1 per cell]
Ga  0.000  0.000  0.328 [2 per cell]
Ni  0.500  0.500  0.158 [2 per cell]
Ru  0.500  0.500  0.500 [1 per cell]

ΔH_f (0 K): -0.3599 eV/atom